No. 1
This record from Alexandria via LeMat-Bulk describes ScCd2Hg after structural relaxation. The functional is PBEsol.

Geometry as POSCAR:
```
ScCd2Hg
1.0
3.122 0.000 0.000
0.000 4.524 0.000
-1.547 0.000 5.884
Sc Cd Hg
1 2 1
direct
0.000 0.000 0.000 Sc
0.256 0.000 0.514 Cd
0.652 0.500 0.306 Cd
0.405 0.500 0.809 Hg
```

Calculated values
energy of formation = -251 meV/atom
calculated total energy = -2.6425 eV/atom
total magnetic moment = 0.01 μB/f.u.
volume = 20.8 A^3/atom
DOS at the Fermi energy = 2.26 states/eV/cell

***

No. 2
This record from Alexandria via LeMat-Bulk describes TaHg2 after structural relaxation. The functional is PBEsol.

Geometry as POSCAR:
```
TaHg2
1.0
1.492 -7.894 0.000
1.492 7.894 0.000
0.000 0.000 4.923
Ta Hg
2 4
direct
0.050 0.950 0.750 Ta
0.950 0.050 0.250 Ta
0.287 0.713 0.250 Hg
0.393 0.607 0.750 Hg
0.607 0.393 0.250 Hg
0.713 0.287 0.750 Hg
```

Calculated values
energy of formation = 277 meV/atom
calculated total energy = -4.2845 eV/atom
total magnetic moment = 0.00 μB/f.u.
volume = 19.3 A^3/atom
DOS at the Fermi energy = 4.29 states/eV/cell

***

No. 3
This record from Alexandria via LeMat-Bulk describes CoCuRh2 after structural relaxation. The functional is PBEsol.

Geometry as POSCAR:
```
CoCuRh2
1.0
4.248 -1.309 0.000
4.248 1.309 0.000
-0.805 0.000 4.473
Co Cu Rh
1 1 2
direct
0.000 0.000 0.000 Co
0.500 0.500 0.500 Cu
0.254 0.254 0.753 Rh
0.746 0.746 0.247 Rh
```

Calculated values
energy of formation = 108 meV/atom
calculated total energy = -6.9794 eV/atom
total magnetic moment = 2.58 μB/f.u.
volume = 12.4 A^3/atom
DOS at the Fermi energy = 5.74 states/eV/cell

***

No. 4
This record from Alexandria via LeMat-Bulk describes Cu2RuSe after structural relaxation. The functional is PBEsol.

Geometry as POSCAR:
```
Cu2RuSe
1.0
-1.866 1.866 3.778
1.866 -1.866 3.778
1.866 1.866 -3.778
Cu Ru Se
2 1 1
direct
0.000 0.000 0.000 Cu
0.750 0.250 0.500 Cu
0.500 0.500 0.000 Ru
0.250 0.750 0.500 Se
```

Calculated values
calculated total energy = -5.3903 eV/atom
total magnetic moment = 0.00 μB/f.u.
volume = 13.2 A^3/atom
formation energy without anion corrections = 1.13 eV per formula unit
DOS at the Fermi energy = 2.29 states/eV/cell

***

No. 5
This record from Alexandria via LeMat-Bulk describes LiTc2Ni after structural relaxation. The functional is PBEsol.

Geometry as POSCAR:
```
LiTc2Ni
1.0
3.486 0.000 0.000
0.000 3.486 0.000
0.000 0.000 4.071
Li Tc Ni
1 2 1
direct
0.000 0.000 0.000 Li
0.000 0.500 0.500 Tc
0.500 0.000 0.500 Tc
0.500 0.500 0.000 Ni
```

Calculated values
energy of formation = 217 meV/atom
calculated total energy = -7.4475 eV/atom
total magnetic moment = 0.00 μB/f.u.
volume = 12.4 A^3/atom
DOS at the Fermi energy = 3.64 states/eV/cell

***

No. 6
This record from Alexandria via LeMat-Bulk describes YMn2Cd after structural relaxation. The functional is PBEsol.

Geometry as POSCAR:
```
YMn2Cd
1.0
1.546 0.893 9.223
-1.546 0.893 9.223
0.000 -1.785 9.223
Y Mn Cd
1 2 1
direct
0.000 0.000 0.000 Y
0.247 0.247 0.247 Mn
0.753 0.753 0.753 Mn
0.500 0.500 0.500 Cd
```

Calculated values
energy of formation = 593 meV/atom
calculated total energy = -6.2925 eV/atom
total magnetic moment = 6.77 μB/f.u.
volume = 19.1 A^3/atom
DOS at the Fermi energy = 4.17 states/eV/cell